Computed, not measured: a crystal of Y2P2F relaxed with PBEsol at the meta-GGA SCAN level of DFT.

a = 5.492 Å, b = 5.492 Å, c = 5.492 Å
α = 124.71°, β = 124.71°, γ = 82.01°
Atoms (fractional coordinates):
Y 0.250 0.750 0.500
Y 0.750 0.250 0.500
P 0.133 0.133 0.000
P 0.867 0.867 0.000
F 0.500 0.500 0.000

Properties
N(E_F) in states/eV/f.u.: 2.76
Raw formation energy in eV per atom: -1.533